The following is a DFT calculation (PBE) of an optimized crystal structure of PrIn4Pt2.

The structure in CIF format:
```
data_PrIn4Pt2
_chemical_formula_sum 'Pr1 In4 Pt2'
_cell_length_a 4.277
_cell_length_b 4.372
_cell_length_c 9.091
_cell_angle_alpha 103.91
_cell_angle_beta 90.00
_cell_angle_gamma 90.00
_symmetry_space_group_name_H-M 'P 1'
_symmetry_Int_Tables_number 1
loop_
_symmetry_equiv_pos_as_xyz
'x,y,z'
loop_
_atom_site_label
_atom_site_type_symbol
_atom_site_fract_x
_atom_site_fract_y
_atom_site_fract_z
Pr1 Pr 0.000 0.000 0.000
In1 In 0.500 0.829 0.657
In2 In 0.000 0.679 0.358
In3 In 0.500 0.171 0.343
In4 In 0.000 0.321 0.642
Pt1 Pt 0.500 0.575 0.150
Pt2 Pt 0.500 0.425 0.850
```

Values from the calculation:
Symmetry   Cmmm (65)
N(E_F)   2.5 states/eV per cell
ΔH_f (0 K)   -0.472 eV/atom
Relative energy among the computed polymorphs   1.25 eV per formula unit
DFT total energy   -4.4458 eV per atom



The following is a DFT calculation (PBE) of an optimized crystal structure of Zn2HgAu2.

The structure in CIF format:
```
data_Zn2HgAu2
_chemical_formula_sum 'Zn2 Hg1 Au2'
_cell_length_a 3.761
_cell_length_b 3.761
_cell_length_c 7.170
_cell_angle_alpha 74.80
_cell_angle_beta 74.80
_cell_angle_gamma 90.00
_symmetry_space_group_name_H-M 'P 1'
_symmetry_Int_Tables_number 1
loop_
_symmetry_equiv_pos_as_xyz
'x,y,z'
loop_
_atom_site_label
_atom_site_type_symbol
_atom_site_fract_x
_atom_site_fract_y
_atom_site_fract_z
Zn1 Zn 0.750 0.250 0.500
Zn2 Zn 0.250 0.750 0.500
Au1 Au 0.392 0.392 0.215
Au2 Au 0.608 0.608 0.785
Hg1 Hg 0.000 0.000 0.000
```

Values from the calculation:
Symmetry   I4/mmm (139)
N(E_F)   2.3 states/eV per cell
ΔH_f (0 K)   -0.074 eV/atom
Relative energy among the computed polymorphs   0.18 eV per formula unit
DFT total energy   -1.9553 eV per atom



The following is a DFT calculation (PBE) of an optimized crystal structure of K3Li2CuF9.

The structure in CIF format:
```
data_K3Li2CuF9
_chemical_formula_sum 'K3 Li2 Cu1 F9'
_cell_length_a 5.713
_cell_length_b 5.713
_cell_length_c 7.100
_cell_angle_alpha 90.00
_cell_angle_beta 90.00
_cell_angle_gamma 120.00
_symmetry_space_group_name_H-M 'P 1'
_symmetry_Int_Tables_number 1
loop_
_symmetry_equiv_pos_as_xyz
'x,y,z'
loop_
_atom_site_label
_atom_site_type_symbol
_atom_site_fract_x
_atom_site_fract_y
_atom_site_fract_z
K1 K 0.333 0.667 0.680
K2 K 0.000 0.000 0.000
K3 K 0.667 0.333 0.320
Li1 Li 0.333 0.667 0.142
Li2 Li 0.667 0.333 0.858
Cu1 Cu 0.000 0.000 0.500
F1 F 0.843 0.157 0.654
F2 F 0.843 0.686 0.654
F3 F 0.314 0.157 0.654
F4 F 0.686 0.843 0.346
F5 F 0.157 0.314 0.346
F6 F 0.157 0.843 0.346
F7 F 0.500 0.000 0.000
F8 F 0.000 0.500 0.000
F9 F 0.500 0.500 0.000
```

Values from the calculation:
Symmetry   P-3m1 (164)
N(E_F)   11.2 states/eV per cell
Energy relative to the elements, uncorrected   -2.332 eV per atom
DFT total energy   -4.2027 eV per atom



The following is a DFT calculation (PBE) of an optimized crystal structure of BeHNO2.

The structure in CIF format:
```
data_BeHNO2
_chemical_formula_sum 'Be1 H1 N1 O2'
_cell_length_a 3.619
_cell_length_b 3.619
_cell_length_c 2.478
_cell_angle_alpha 90.00
_cell_angle_beta 90.00
_cell_angle_gamma 90.00
_symmetry_space_group_name_H-M 'P 1'
_symmetry_Int_Tables_number 1
loop_
_symmetry_equiv_pos_as_xyz
'x,y,z'
loop_
_atom_site_label
_atom_site_type_symbol
_atom_site_fract_x
_atom_site_fract_y
_atom_site_fract_z
Be1 Be 0.500 0.500 0.500
H1 H 0.000 0.000 0.000
O1 O 0.000 0.500 0.000
O2 O 0.500 0.000 0.000
N1 N 0.000 0.000 0.500
```

Values from the calculation:
Symmetry   P4/mmm (123)
N(E_F)   2.5 states/eV per cell
DFT total energy   -4.1876 eV per atom



The following is a DFT calculation (PBE) of an optimized crystal structure of KRe3.

The structure in CIF format:
```
data_KRe3
_chemical_formula_sum 'K1 Re3'
_cell_length_a 2.723
_cell_length_b 2.723
_cell_length_c 10.493
_cell_angle_alpha 90.00
_cell_angle_beta 90.00
_cell_angle_gamma 113.65
_symmetry_space_group_name_H-M 'P 1'
_symmetry_Int_Tables_number 1
loop_
_symmetry_equiv_pos_as_xyz
'x,y,z'
loop_
_atom_site_label
_atom_site_type_symbol
_atom_site_fract_x
_atom_site_fract_y
_atom_site_fract_z
K1 K 0.000 0.000 0.000
Re1 Re 0.500 0.500 0.711
Re2 Re 0.000 0.000 0.500
Re3 Re 0.500 0.500 0.289
```

Values from the calculation:
Symmetry   Cmmm (65)
N(E_F)   3.7 states/eV per cell
ΔH_f (0 K)   0.839 eV/atom
Relative energy among the computed polymorphs   0.45 eV per formula unit
DFT total energy   -8.7712 eV per atom



The following is a DFT calculation (PBE) of an optimized crystal structure of La2CePbN2.

The structure in CIF format:
```
data_La2CePbN2
_chemical_formula_sum 'La2 Ce1 Pb1 N2'
_cell_length_a 4.485
_cell_length_b 4.485
_cell_length_c 7.060
_cell_angle_alpha 90.00
_cell_angle_beta 90.00
_cell_angle_gamma 90.00
_symmetry_space_group_name_H-M 'P 1'
_symmetry_Int_Tables_number 1
loop_
_symmetry_equiv_pos_as_xyz
'x,y,z'
loop_
_atom_site_label
_atom_site_type_symbol
_atom_site_fract_x
_atom_site_fract_y
_atom_site_fract_z
La1 La 0.500 0.500 0.762
La2 La 0.500 0.500 0.238
Ce1 Ce 0.000 0.000 0.000
Pb1 Pb 0.000 0.000 0.500
N1 N 0.500 0.000 0.000
N2 N 0.000 0.500 0.000
```

Values from the calculation:
Symmetry   P4/mmm (123)
N(E_F)   1.5 states/eV per cell
Energy relative to the elements, uncorrected   -1.035 eV per atom
DFT total energy   -7.0600 eV per atom